1.
Hf2Pd9Pb: relaxed, PBE.

ΔE_f in eV per atom: -0.690
Electronic total energy in eV/cell: -78.6

Lattice parameters (Å, degrees): 4.0360 4.0360 12.1904 90.00 90.00 90.00
Element x y z (fractional)
Hf (0.0000, 0.0000, 0.1647)
Hf (0.0000, 0.0000, 0.8353)
Pd (0.0000, 0.5000, 0.0000)
Pd (0.0000, 0.5000, 0.3234)
Pd (0.0000, 0.5000, 0.6766)
Pd (0.5000, 0.0000, 0.0000)
Pd (0.5000, 0.0000, 0.3234)
Pd (0.5000, 0.0000, 0.6766)
Pd (0.5000, 0.5000, 0.1628)
Pd (0.5000, 0.5000, 0.5000)
Pd (0.5000, 0.5000, 0.8372)
Pb (0.0000, 0.0000, 0.5000)

2.
HfPdRhPb: relaxed, PBE.

ΔE_f in eV per atom: -0.449
Electronic total energy in eV/cell: -28.0

Lattice parameters (Å, degrees): 4.6964 4.6964 4.6964 60.00 60.00 60.00
Element x y z (fractional)
Hf (0.0000, 0.0000, 0.0000)
Pd (0.2500, 0.2500, 0.2500)
Rh (0.7500, 0.7500, 0.7500)
Pb (0.5000, 0.5000, 0.5000)

3.
HfScPdPb: relaxed, PBE.

ΔE_f in eV per atom: -0.338
Electronic total energy in eV/cell: -26.5

Lattice parameters (Å, degrees): 4.9057 4.9057 4.9057 60.00 60.00 60.00
Element x y z (fractional)
Hf (0.0000, 0.0000, 0.0000)
Sc (0.5000, 0.5000, 0.5000)
Pd (0.2500, 0.2500, 0.2500)
Pb (0.7500, 0.7500, 0.7500)

4.
SrHf2PdPb: relaxed, PBE.

ΔE_f in eV per atom: 0.242
Electronic total energy in eV/cell: -29.3

Lattice parameters (Å, degrees): 5.0958 5.0958 5.6871 90.00 90.00 90.00
Element x y z (fractional)
Sr (0.0000, 0.0000, 0.0000)
Hf (0.0000, 0.5000, 0.5000)
Hf (0.5000, 0.0000, 0.5000)
Pd (0.0000, 0.0000, 0.5000)
Pb (0.5000, 0.5000, 0.0000)

5.
HfTcPd2Pb: relaxed, PBE.

ΔE_f in eV per atom: 0.693
Electronic total energy in eV/cell: -30.9

Lattice parameters (Å, degrees): 4.9575 4.9575 4.7466 90.00 90.00 90.00
Element x y z (fractional)
Hf (0.0000, 0.0000, 0.0000)
Tc (0.0000, 0.0000, 0.5000)
Pd (0.0000, 0.5000, 0.5000)
Pd (0.5000, 0.0000, 0.5000)
Pb (0.5000, 0.5000, 0.0000)

6.
Hf2TiPdPb: relaxed, PBE.

ΔE_f in eV per atom: 1.443
Electronic total energy in eV/cell: -29.5

Lattice parameters (Å, degrees): 5.2901 5.2901 4.9919 90.00 90.00 90.00
Element x y z (fractional)
Hf (0.0000, 0.5000, 0.0000)
Hf (0.5000, 0.0000, 0.0000)
Ti (0.0000, 0.0000, 0.5000)
Pd (0.5000, 0.5000, 0.5000)
Pb (0.0000, 0.0000, 0.0000)